# SmMgCd

A geometry-optimized SmMgCd structure (PBE, OQMD).

Calculated values
E ... -2.275 eV/atom
Space-group type ... F-43m, No. 216
Mass density ... 5.62 g/cm3

Cell and atoms, written as POSCAR:
```
SmMgCd
1.0
-3.144 -1.203 3.604
-4.827 -0.339 -0.950
-2.205 -4.411 -0.022
Mg Cd Sm
1 1 1
Direct
0.000 0.000 0.000
0.250 0.250 0.250
0.750 0.750 0.750
```